Material: Mn2RhSBr
Method: DFT, PBE-GGA
State: optimized geometry

The value obtained for the density of states at the Fermi level is 0.8872 states/eV/atom. As for the final energy: -6.070 eV per atom. For the formation energy from raw total energies, the calculation gives 229 meV per atom.

Cell: 4.6654 4.6654 4.4272 Å, 90.00 90.00 90.00°
Space group P4/mmm (No. 123)
One atom of each set of equivalent atoms:
Mn 0.0000 0.5000 0.0000 [2 per cell]
Rh 0.0000 0.0000 0.5000 [1 per cell]
S 0.0000 0.0000 0.0000 [1 per cell]
Br 0.5000 0.5000 0.5000 [1 per cell]